YAlRu2 | the Alexandria database | PBE | optimized geometry; total DFT energy (no corrections) = -29.210 eV per cell; energy relative to the elements = -113 meV per atom; spin magnetization = 0.00 μB per cell
1.0
-1.090 -1.597 2.422
4.217 -3.125 -0.163
4.883 0.460 2.502
Y Ru Al
1 2 1
Cartesian
4.005 -2.131 2.380
0.000 0.000 0.000
1.563 -2.361 1.129
2.442 0.230 1.251